one) The following is a DFT calculation (GGA-PBE) of an optimized crystal structure of Ir2PdSe2.

Calculated values
Density of states at the Fermi level ... 0.86 states/eV per atom
Total magnetic moment ... 0.000 μB/f.u.

```
data_Ir2PdSe2
_chemical_formula_sum 'Ir4 Pd2 Se4'
_cell_length_a 7.3523
_cell_length_b 7.3523
_cell_length_c 3.0651
_cell_angle_alpha 90.00
_cell_angle_beta 90.00
_cell_angle_gamma 90.00
_symmetry_space_group_name_H-M 'P 4/m b m'
_symmetry_Int_Tables_number 127
_symmetry_space_group_name_Hall '-P 4 2ab'
loop_
_atom_site_label
_atom_site_fract_x
_atom_site_fract_y
_atom_site_fract_z
Ir1 0.1358 0.3642 0.0000
Pd1 0.0000 0.0000 0.0000
Se1 0.1636 0.6636 0.5000
```

two) The following is a DFT calculation (GGA-PBE) of an optimized crystal structure of Ir2PdSe2.

Calculated values
Density of states at the Fermi level ... 0.80 states/eV per atom
Total magnetic moment ... 0.000 μB/f.u.

```
data_Ir2PdSe2
_chemical_formula_sum 'Ir4 Pd2 Se4'
_cell_length_a 4.0841
_cell_length_b 4.0841
_cell_length_c 10.9364
_cell_angle_alpha 90.00
_cell_angle_beta 90.00
_cell_angle_gamma 90.00
_symmetry_space_group_name_H-M 'I 4/m m m'
_symmetry_Int_Tables_number 139
_symmetry_space_group_name_Hall '-I 4 2'
loop_
_atom_site_label
_atom_site_fract_x
_atom_site_fract_y
_atom_site_fract_z
Ir1 0.0000 0.0000 0.1164
Pd1 0.0000 0.0000 0.5000
Se1 0.0000 0.5000 0.2500
```

Relative energy of each structure, in kJ/mol of atoms: one) 0.0; two) 9.3.